{
  "formula": "Pa3V5N12",
  "functional": "PBE",
  "state": "relaxed",
  "dos_at_fermi_per_ev_atom": 0.468,
  "magmom_total_mub_per_fu": 3.99,
  "formation_energy_uncorrected_ev_per_atom": -1.16,
  "lattice": [[10.772, 0.000, 0.000], [-3.591, 10.156, 0.000], [-3.591, -5.078, 8.795]],
  "species": ["N", "N", "N", "N", "N", "N", "N", "N", "N", "N", "N", "N", "N", "N", "N", "N", "N", "N", "N", "N", "N", "N", "N", "N", "N", "N", "N", "N", "N", "N", "N", "N", "N", "N", "N", "N", "N", "N", "N", "N", "N", "N", "N", "N", "N", "N", "N", "N", "Pa", "Pa", "Pa", "Pa", "Pa", "Pa", "Pa", "Pa", "Pa", "Pa", "Pa", "Pa", "V", "V", "V", "V", "V", "V", "V", "V", "V", "V", "V", "V", "V", "V", "V", "V", "V", "V", "V", "V"],
  "fractional_positions": [[0.707, 0.126, 0.025], [0.318, 0.525, 0.400], [0.975, 0.374, 0.293], [0.525, 0.207, 0.126], [0.581, 0.707, 0.682], [0.975, 0.600, 0.182], [0.318, 0.793, 0.419], [0.100, 0.919, 0.126], [0.600, 0.975, 0.682], [0.707, 0.581, 0.182], [0.793, 0.475, 0.374], [0.818, 0.900, 0.025], [0.126, 0.707, 0.525], [0.374, 0.400, 0.081], [0.081, 0.900, 0.374], [0.419, 0.126, 0.600], [0.081, 0.182, 0.207], [0.475, 0.682, 0.100], [0.818, 0.919, 0.293], [0.126, 0.419, 0.100], [0.374, 0.975, 0.793], [0.600, 0.626, 0.419], [0.900, 0.818, 0.525], [0.793, 0.318, 0.919], [0.400, 0.374, 0.581], [0.100, 0.182, 0.475], [0.207, 0.682, 0.081], [0.182, 0.081, 0.707], [0.626, 0.025, 0.207], [0.874, 0.581, 0.900], [0.525, 0.318, 0.900], [0.581, 0.874, 0.400], [0.919, 0.818, 0.793], [0.919, 0.100, 0.626], [0.874, 0.293, 0.475], [0.182, 0.100, 0.975], [0.626, 0.600, 0.919], [0.400, 0.025, 0.318], [0.293, 0.419, 0.818], [0.207, 0.525, 0.626], [0.900, 0.081, 0.874], [0.682, 0.207, 0.581], [0.475, 0.793, 0.874], [0.025, 0.400, 0.818], [0.419, 0.293, 0.318], [0.025, 0.626, 0.707], [0.682, 0.475, 0.600], [0.293, 0.874, 0.975], [0.750, 0.375, 0.125], [0.875, 0.750, 0.125], [0.375, 0.750, 0.625], [0.250, 0.125, 0.375], [0.875, 0.125, 0.250], [0.375, 0.625, 0.250], [0.625, 0.375, 0.750], [0.125, 0.875, 0.750], [0.750, 0.875, 0.625], [0.625, 0.250, 0.375], [0.125, 0.250, 0.875], [0.250, 0.625, 0.875], [0.125, 0.375, 0.250], [0.000, 0.500, 0.000], [0.000, 0.000, 0.000], [0.375, 0.250, 0.125], [0.500, 0.000, 0.500], [0.500, 0.500, 0.000], [0.125, 0.750, 0.375], [0.750, 0.125, 0.875], [0.750, 0.625, 0.375], [0.375, 0.125, 0.750], [0.625, 0.875, 0.250], [0.500, 0.500, 0.500], [0.500, 0.000, 0.000], [0.000, 0.000, 0.500], [0.250, 0.375, 0.625], [0.250, 0.875, 0.125], [0.000, 0.500, 0.500], [0.875, 0.250, 0.625], [0.625, 0.750, 0.875], [0.875, 0.625, 0.750]]
}